This record from Alexandria via LeMat-Bulk describes NdTh2Rh after structural relaxation. The functional is GGA-PBE.

The space group is Pnma (No. 62) and the conventional cell measures 7.244, 10.023 and 6.379 Å, with angles of 90.00, 90.00 and 90.00 degrees. The inequivalent atoms are Nd at (0.038, 0.250, 0.150), Th at (0.180, 0.060, 0.656) and Rh at (0.107, 0.750, 0.375).

The formation energy is -0.446 eV per atom. The energy above the most stable polymorph in this dataset comes out at 0.62 kJ/mol of atoms.